# Sr2LaRh | Alexandria via LeMat-Bulk | GGA-PBE | relaxed
data_Sr2LaRh
_chemical_formula_sum 'Sr2 La1 Rh1'
_cell_length_a 3.741
_cell_length_b 3.741
_cell_length_c 10.256
_cell_angle_alpha 90.00
_cell_angle_beta 90.00
_cell_angle_gamma 90.00
_symmetry_space_group_name_H-M 'P 4 m m'
_symmetry_Int_Tables_number 99
loop_
_symmetry_equiv_pos_as_xyz
'x,y,z'
'-y,x,z'
'-x,-y,z'
'y,-x,z'
'-x,y,z'
'y,x,z'
'x,-y,z'
'-y,-x,z'
loop_
_atom_site_label
_atom_site_fract_x
_atom_site_fract_y
_atom_site_fract_z
Sr1 0.000 0.000 0.000
Sr2 0.500 0.500 0.343
La1 0.000 0.000 0.666
Rh1 0.500 0.500 0.795
# total moment = 0.00 μB per formula unit
# energy = -4.17 eV per atom
# density of states at the Fermi level = 2.9 states/eV per cell